ZnNiW | PBE | relaxed

Calculated values
- Energy relative to the lowest polymorph listed for this composition: 0.050 eV/atom

Cell lengths 2.667, 4.620, 7.069 Å; angles 78.49, 81.89, 76.76 degrees
Space group P-1 (No. 2)
Unique sites:
Zn1 0.008 0.292 0.211
Ni1 0.330 0.779 0.091
W1 0.283 0.231 0.589

KCuRhO2 | PBE | relaxed

Calculated values
- Energy relative to the elements, uncorrected: -617.6 meV/atom

Cell lengths 6.574, 12.355, 3.971 Å; angles 90.00, 90.00, 90.00 degrees
Space group Cmme (No. 67)
Unique sites:
K1 0.000 0.250 0.153
Cu1 0.000 0.000 0.000
Rh1 0.250 0.000 0.500
O1 0.000 0.099 0.618

CrCo2S4 | PBE | relaxed

Calculated values
- Energy relative to the lowest polymorph listed for this composition: 0.000 eV/atom
- Energy relative to the elements, uncorrected: -480.9 meV/atom

Cell lengths 6.669, 6.810, 9.433 Å; angles 90.00, 90.00, 90.00 degrees
Space group Imma (No. 74)
Unique sites:
Cr1 0.250 0.250 0.250
Co1 0.000 0.000 0.000
Co2 0.000 0.250 0.624
S1 0.000 0.007 0.243
S2 0.232 0.250 0.000

Zr2CoCu | PBE | relaxed

Calculated values
- Uncorrected energy: -7.151 eV/atom

Cell lengths 10.558, 3.252, 4.341 Å; angles 90.00, 114.19, 90.00 degrees
Space group Cm (No. 8)
Unique sites:
Zr1 0.000 0.000 0.000
Zr2 0.224 0.000 0.723
Co1 0.499 0.000 0.498
Cu1 0.288 0.500 0.288